## FeOsC (GGA-PBE)

Data for crystalline FeOsC at its relaxed geometry.

Computed properties:
- Fermi-level density of states (states/eV/cell) = 4.53
- energy above the most stable polymorph in this dataset (eV per atom) = 0.119
- calculated formation energy (eV per atom) = 0.44
- space group = No. 6
- ρ (Mg/m³) = 13.79
- energy (eV/atom) = -9.198

a = 4.7150 Å, b = 2.7065 Å, c = 4.9686 Å
α = 90.00°, β = 101.49°, γ = 90.00°
Closest atoms and distances in Å follow each position.
Sites, in units of the cell vectors:
Fe  0.0000  0.0000  0.0000  2 C 1.93
Fe  0.0801  0.0000  0.5271  4 C 1.98-2.02
Os  0.5079  0.5000  0.8426  1 C 1.98
Os  0.5310  0.0000  0.3091  4 C 2.13-2.22
C  0.1766  0.5000  0.2572  4 Fe 1.93-2.02, 2 Os 2.13
C  0.8019  0.5000  0.6095  1 Os 1.98, 2 Fe 1.98